Record 1
First-principles (PBE) data for crystalline HgIrW at its relaxed geometry, as listed in Alexandria.

Properties
relative energy among the computed polymorphs	5.752	kcal/mol of atoms
total magnetic moment	0.0	μB/f.u.
VASP energy	-0.2530	Ha/atom
formation energy	0.49	eV/atom

abc: 2.9716 4.7817 14.6985
angles: 90.00 90.00 90.00
Closest atoms and distances in Å follow each position.
Space group Fmm2 (No. 42)
Symmetry-distinct sites (fractional):
Hg1 0.0000 0.0000 0.0000  6 Hg 2.81-2.97, 2 Ir 2.99, 2 W 3.01
Ir1 0.0000 0.0000 0.3237  2 W 2.61, 4 Ir 2.81
W1 0.0000 0.0000 0.6778  2 Ir 2.61, 4 W 2.81


Record 2
First-principles (PBE) data for crystalline TiBiAsOs2 at its relaxed geometry, as listed in Alexandria.

Properties
total magnetic moment	0.7	μB/f.u.
VASP energy	-0.2288	Ha/atom
formation energy	1.55	eV/atom

abc: 4.6350 4.6350 5.1945
angles: 90.00 90.00 90.00
Closest atoms and distances in Å follow each position.
Space group P4/mmm (No. 123)
Symmetry-distinct sites (fractional):
Ti1 0.0000 0.0000 0.0000  4 Os 2.32
Bi1 0.0000 0.0000 0.5000  2 Ti 2.60
As1 0.5000 0.5000 0.5000  4 Bi 3.28, 8 Os 3.48
Os1 0.0000 0.5000 0.0000  2 Ti 2.32


Record 3
First-principles (PBE) data for crystalline LaTb2Ge at its relaxed geometry, as listed in Alexandria.

Properties
relative energy among the computed polymorphs	1.780	kcal/mol of atoms
total magnetic moment	0.0	μB/f.u.
VASP energy	-0.1822	Ha/atom
formation energy	-0.26	eV/atom

abc: 4.0274 4.0274 27.8776
angles: 90.00 90.00 120.00
Closest atoms and distances in Å follow each position.
Space group R3m (No. 160, hexagonal axes)
Symmetry-distinct sites (fractional):
La1 0.0000 0.0000 0.0000  6 Tb 3.73-3.86, 6 La 4.03
Tb1 0.0000 0.0000 0.5561  3 Ge 2.86
Tb2 0.0000 0.0000 0.7714  3 Ge 2.84
Ge1 0.0000 0.0000 0.1630  6 Tb 2.84-2.86


Record 4
First-principles (PBE) data for crystalline TbY2TcO8 at its relaxed geometry, as listed in Alexandria.

Properties
raw formation energy	-31.39	eV/f.u.
total magnetic moment	0.0	μB/f.u.
VASP energy	-0.3031	Ha/atom

abc: 7.1193 7.1952 6.7533
angles: 90.00 90.00 90.00
Closest atoms and distances in Å follow each position.
Space group Cmmm (No. 65)
Symmetry-distinct sites (fractional):
Tb1 0.0000 0.0000 0.0000  6 O 2.19-2.37
Y1 0.0000 0.5000 0.2489  6 O 2.17-2.37
Tc1 0.0000 0.0000 0.5000  6 O 1.91
O1 0.0000 0.1813 0.2932  1 Tc 1.91
O2 0.1925 0.5000 0.0000  2 Y 2.17, 1 Tb 2.19
O3 0.2320 0.5000 0.5000  1 Tc 1.91